The following is a PBE-GGA calculation of a geometry-optimized Be2AlCu structure, from Alexandria via LeMat-Bulk.

Calculated values
energy	-30.1	eV for the cell shown
crystal system	tetragonal
density	4.12	g/cm3

a b c (Å): 3.5543 3.5543 6.9268
angles (deg): 90.00 90.00 90.00
Last column: nearest neighbours and their distance in Å.
Space group I4/mmm (No. 139)
Symmetry-distinct sites (fractional):
1 Be 0.0000 0.5000 0.2500  4 Al 2.48, 4 Cu 2.48, 4 Be 2.51
2 Al 0.0000 0.0000 0.0000  8 Be 2.48, 4 Cu 2.51
3 Cu 0.0000 0.0000 0.5000  8 Be 2.48, 4 Al 2.51